No. 1
La2CeDy: relaxed, PBE.

Calculated values
calculated formation energy	181.5	meV/atom
polymorph energy (0 for the lowest one)	0.120	eV per atom

Cell lengths 12.731, 12.731, 12.731 Å; angles 15.73, 15.73, 15.73 degrees
Fractional coordinates of all 4 atoms:
La1 0.086 0.086 0.086
La2 0.914 0.914 0.914
Ce1 0.000 0.000 0.000
Dy1 0.500 0.500 0.500

=====

No. 2
ZrTi2N3: relaxed, PBE.

Calculated values
formation energy without anion corrections	-1648.8	meV per atom

Cell lengths 5.384, 5.384, 5.384 Å; angles 146.47, 131.87, 59.93 degrees
Fractional coordinates of all 6 atoms:
Zr1 0.000 0.000 0.000
Ti1 0.329 0.329 0.000
Ti2 0.671 0.671 0.000
N1 0.176 0.676 0.500
N2 0.500 0.000 0.500
N3 0.824 0.324 0.500

=====

No. 3
NaDyInSn: relaxed, PBE.

Calculated values
calculated formation energy	-302.3	meV/atom
polymorph energy (0 for the lowest one)	0.074	eV per atom

Cell lengths 5.309, 5.309, 5.309 Å; angles 60.00, 60.00, 60.00 degrees
Fractional coordinates of all 4 atoms:
Na1 0.000 0.000 0.000
Dy1 0.500 0.500 0.500
In1 0.250 0.250 0.250
Sn1 0.750 0.750 0.750

=====

No. 4
ZrRhAu3: relaxed, PBE.

Calculated values
calculated formation energy	835.5	meV/atom
polymorph energy (0 for the lowest one)	0.000	eV per atom

Cell lengths 4.925, 4.925, 4.925 Å; angles 90.00, 90.00, 90.00 degrees
Fractional coordinates of all 5 atoms:
Zr1 0.000 0.000 0.000
Rh1 0.500 0.500 0.500
Au1 0.000 0.500 0.500
Au2 0.500 0.000 0.500
Au3 0.500 0.500 0.000

=====

No. 5
NbCrCl: relaxed, PBE.

Calculated values
formation energy without anion corrections	-370.7	meV per atom

Cell lengths 3.059, 3.059, 12.090 Å; angles 91.10, 91.10, 74.49 degrees
Fractional coordinates of all 6 atoms:
Nb1 0.000 0.000 0.000
Nb2 0.524 0.524 0.397
Cr1 0.011 0.011 0.250
Cr2 0.505 0.505 0.147
Cl1 0.343 0.343 0.851
Cl2 0.885 0.885 0.546

=====

No. 6
PrTmTe2: relaxed, PBE.

Calculated values
polymorph energy (0 for the lowest one)	0.175	eV per atom
formation energy without anion corrections	-1173.5	meV per atom

Cell lengths 5.416, 5.416, 5.416 Å; angles 60.00, 60.00, 60.00 degrees
Fractional coordinates of all 4 atoms:
Pr1 0.000 0.000 0.000
Tm1 0.500 0.500 0.500
Te1 0.250 0.250 0.250
Te2 0.750 0.750 0.750

=====

No. 7
Na3Th3Te8Pb: relaxed, PBE.

Calculated values
formation energy without anion corrections	-1021.0	meV per atom

Cell lengths 9.158, 9.158, 9.158 Å; angles 59.26, 59.26, 59.26 degrees
Fractional coordinates of all 15 atoms:
Na1 0.000 0.500 0.500
Na2 0.500 0.000 0.500
Na3 0.500 0.500 0.000
Th1 0.000 0.000 0.500
Th2 0.000 0.500 0.000
Th3 0.500 0.000 0.000
Te1 0.234 0.754 0.754
Te2 0.246 0.246 0.766
Te3 0.246 0.766 0.246
Te4 0.248 0.248 0.248
Te5 0.752 0.752 0.752
Te6 0.754 0.234 0.754
Te7 0.754 0.754 0.234
Te8 0.766 0.246 0.246
Pb1 0.500 0.500 0.500

=====

No. 8
AsPtIBr2: relaxed, PBE.

Calculated values
polymorph energy (0 for the lowest one)	0.000	eV per atom
formation energy without anion corrections	252.7	meV per atom

Cell lengths 5.215, 5.215, 4.964 Å; angles 90.00, 90.00, 90.00 degrees
Fractional coordinates of all 5 atoms:
As1 0.000 0.000 0.000
Pt1 0.000 0.000 0.500
I1 0.500 0.500 0.000
Br1 0.000 0.500 0.500
Br2 0.500 0.000 0.500

=====

No. 9
BaCrPt: relaxed, PBE.

Calculated values
calculated formation energy	-64.1	meV/atom
polymorph energy (0 for the lowest one)	0.097	eV per atom

Cell lengths 6.533, 5.842, 6.419 Å; angles 64.19, 53.61, 62.20 degrees
Fractional coordinates of all 6 atoms:
Ba1 0.190 0.810 0.190
Ba2 0.810 0.190 0.810
Cr1 0.208 0.461 0.792
Cr2 0.461 0.208 0.539
Pt1 0.462 0.787 0.538
Pt2 0.787 0.462 0.213

=====

No. 10
CdPOs3: relaxed, PBE.

Calculated values
calculated formation energy	3401.1	meV/atom
polymorph energy (0 for the lowest one)	2.563	eV per atom

Cell lengths 4.802, 4.802, 4.802 Å; angles 90.00, 90.00, 90.00 degrees
Fractional coordinates of all 5 atoms:
Cd1 0.000 0.000 0.000
P1 0.500 0.500 0.500
Os1 0.000 0.000 0.500
Os2 0.000 0.500 0.000
Os3 0.500 0.000 0.000

=====

No. 11
Al3HgIr: relaxed, PBE.

Calculated values
calculated formation energy	-263.4	meV/atom

Cell lengths 4.809, 4.809, 4.809 Å; angles 90.00, 90.00, 90.00 degrees
Fractional coordinates of all 5 atoms:
Al1 0.000 0.000 0.500
Al2 0.000 0.500 0.000
Al3 0.500 0.000 0.000
Hg1 0.500 0.500 0.500
Ir1 0.000 0.000 0.000

=====

No. 12
Y2CdSe: relaxed, PBE.

Calculated values
polymorph energy (0 for the lowest one)	0.202	eV per atom
formation energy without anion corrections	-835.4	meV per atom

Cell lengths 3.507, 3.507, 8.043 Å; angles 90.00, 90.00, 90.00 degrees
Fractional coordinates of all 4 atoms:
Y1 0.000 0.000 0.231
Y2 0.000 0.000 0.769
Cd1 0.500 0.500 0.500
Se1 0.500 0.500 0.000

=====

No. 13
BaPbSe: relaxed, PBE.

Calculated values
polymorph energy (0 for the lowest one)	0.459	eV per atom
formation energy without anion corrections	-349.6	meV per atom

Cell lengths 5.537, 5.537, 5.537 Å; angles 60.00, 60.00, 60.00 degrees
Fractional coordinates of all 3 atoms:
Ba1 0.000 0.000 0.000
Pb1 0.250 0.250 0.250
Se1 0.750 0.750 0.750

=====

No. 14
Na3Sc3OsO8: relaxed, PBE.

Calculated values
formation energy without anion corrections	-2416.0	meV per atom

Cell lengths 6.618, 6.618, 6.618 Å; angles 56.79, 56.79, 56.79 degrees
Fractional coordinates of all 15 atoms:
Na1 0.000 0.500 0.500
Na2 0.500 0.000 0.500
Na3 0.500 0.500 0.000
Sc1 0.000 0.000 0.500
Sc2 0.000 0.500 0.000
Sc3 0.500 0.000 0.000
Os1 0.500 0.500 0.500
O1 0.233 0.233 0.233
O2 0.244 0.727 0.727
O3 0.273 0.273 0.756
O4 0.273 0.756 0.273
O5 0.727 0.244 0.727
O6 0.727 0.727 0.244
O7 0.756 0.273 0.273
O8 0.767 0.767 0.767

=====

No. 15
LiPr3Al2O8: relaxed, PBE.

Calculated values
formation energy without anion corrections	-2936.3	meV per atom

Cell lengths 5.464, 5.464, 6.879 Å; angles 90.00, 90.00, 120.00 degrees
Fractional coordinates of all 14 atoms:
Li1 0.000 0.000 0.000
Pr1 0.000 0.000 0.500
Pr2 0.333 0.667 0.130
Pr3 0.667 0.333 0.870
Al1 0.333 0.667 0.698
Al2 0.667 0.333 0.302
O1 0.167 0.333 0.808
O2 0.167 0.833 0.808
O3 0.333 0.167 0.192
O4 0.333 0.667 0.449
O5 0.667 0.333 0.551
O6 0.667 0.833 0.808
O7 0.833 0.167 0.192
O8 0.833 0.667 0.192

=====

No. 16
AcGaN2: relaxed, PBE.

Calculated values
polymorph energy (0 for the lowest one)	0.000	eV per atom
formation energy without anion corrections	-731.3	meV per atom

Cell lengths 6.556, 6.556, 12.036 Å; angles 96.54, 96.54, 88.65 degrees
Fractional coordinates of all 32 atoms:
Ac1 0.141 0.712 0.611
Ac2 0.172 0.354 0.883
Ac3 0.288 0.859 0.889
Ac4 0.354 0.172 0.383
Ac5 0.646 0.828 0.617
Ac6 0.712 0.141 0.111
Ac7 0.828 0.646 0.117
Ac8 0.859 0.288 0.389
Ga1 0.096 0.720 0.349
Ga2 0.280 0.904 0.151
Ga3 0.294 0.420 0.155
Ga4 0.420 0.294 0.655
Ga5 0.580 0.706 0.345
Ga6 0.706 0.580 0.845
Ga7 0.720 0.096 0.849
Ga8 0.904 0.280 0.651
N1 0.054 0.946 0.250
N2 0.079 0.441 0.258
N3 0.143 0.298 0.556
N4 0.232 0.640 0.051
N5 0.298 0.143 0.056
N6 0.360 0.768 0.449
N7 0.434 0.566 0.750
N8 0.441 0.079 0.758
N9 0.559 0.921 0.242
N10 0.566 0.434 0.250
N11 0.640 0.232 0.551
N12 0.702 0.857 0.944
N13 0.768 0.360 0.949
N14 0.857 0.702 0.444
N15 0.921 0.559 0.742
N16 0.946 0.054 0.750

=====

No. 17
Nb2AlZn: relaxed, PBE.

Calculated values
calculated formation energy	4.3	meV/atom

Cell lengths 4.877, 4.877, 5.438 Å; angles 90.70, 90.70, 32.35 degrees
Fractional coordinates of all 4 atoms:
Nb1 0.235 0.235 0.248
Nb2 0.765 0.765 0.752
Al1 0.500 0.500 0.000
Zn1 0.500 0.500 0.500

=====

No. 18
LiGdThCr: relaxed, PBE.

Calculated values
calculated formation energy	222.7	meV/atom

Cell lengths 5.125, 5.125, 5.125 Å; angles 60.00, 60.00, 60.00 degrees
Fractional coordinates of all 4 atoms:
Li1 0.000 0.000 0.000
Gd1 0.750 0.750 0.750
Th1 0.250 0.250 0.250
Cr1 0.500 0.500 0.500

=====

No. 19
LiTbSnIr: relaxed, PBE.

Calculated values
calculated formation energy	-656.4	meV/atom

Cell lengths 4.749, 4.749, 4.749 Å; angles 60.00, 60.00, 60.00 degrees
Fractional coordinates of all 4 atoms:
Li1 0.000 0.000 0.000
Tb1 0.750 0.750 0.750
Sn1 0.250 0.250 0.250
Ir1 0.500 0.500 0.500

=====

No. 20
Cd5Cu2Pd12: relaxed, PBE.

Calculated values
calculated formation energy	-113.8	meV/atom

Cell lengths 7.758, 7.758, 7.032 Å; angles 106.81, 106.81, 54.47 degrees
Fractional coordinates of all 19 atoms:
Cd1 0.000 0.000 0.000
Cd2 0.257 0.257 0.728
Cd3 0.307 0.307 0.305
Cd4 0.693 0.693 0.695
Cd5 0.743 0.743 0.272
Cu1 0.325 0.675 0.500
Cu2 0.675 0.325 0.500
Pd1 0.050 0.667 0.625
Pd2 0.060 0.060 0.680
Pd3 0.125 0.590 0.032
Pd4 0.333 0.950 0.375
Pd5 0.410 0.875 0.968
Pd6 0.471 0.471 0.800
Pd7 0.529 0.529 0.200
Pd8 0.590 0.125 0.032
Pd9 0.667 0.050 0.625
Pd10 0.875 0.410 0.968
Pd11 0.940 0.940 0.320
Pd12 0.950 0.333 0.375